The following is a DFT calculation (GGA-PBEsol) of a relaxed structure of Zn3Au5.

For the energy above the lowest structure with this stoichiometry, the calculation gives 64 meV per atom. Its energy relative to the elements is -0.1206 eV/atom. For the size of the total moment, the calculation gives 0.00 μB/cell.

CIF file:
```
data_Zn3Au5
_cell_length_a 9.923
_cell_length_b 9.923
_cell_length_c 5.186
_cell_angle_alpha 90.00
_cell_angle_beta 90.00
_cell_angle_gamma 90.00
_symmetry_space_group_name_H-M 'I 4/m c m'
_symmetry_Int_Tables_number 140
_symmetry_space_group_name_Hall '-I 4 2c'
loop_
_atom_site_label
_atom_site_type_symbol
_atom_site_fract_x
_atom_site_fract_y
_atom_site_fract_z
Zn1 Zn 0.000 0.000 0.250
Zn2 Zn 0.166 0.334 0.000
Au1 Au 0.000 0.500 0.250
Au2 Au 0.077 0.222 0.500
```


The following is a DFT calculation (GGA-PBEsol) of a relaxed structure of ZnAu2.

Its energy relative to the elements is -0.1241 eV/atom. For the size of the total moment, the calculation gives 0.00 μB/cell.

CIF file:
```
data_ZnAu2
_cell_length_a 2.822
_cell_length_b 2.822
_cell_length_c 24.600
_cell_angle_alpha 90.00
_cell_angle_beta 90.00
_cell_angle_gamma 90.00
_symmetry_space_group_name_H-M 'I 41/a m d'
_symmetry_Int_Tables_number 141
loop_
_symmetry_equiv_pos_as_xyz
'x,y,z'
'-x,-y,-z'
'-y+1/4,x+3/4,z+1/4'
'y+1/4,-x+3/4,-z+1/4'
'-x+1/2,-y,z+1/2'
'x+1/2,y,-z+1/2'
'y+1/4,-x+1/4,z+3/4'
'-y+1/4,x+1/4,-z+3/4'
'x,-y,-z'
'-x,y,z'
'-y+1/4,-x+1/4,-z+3/4'
'y+1/4,x+1/4,z+3/4'
'-x+1/2,y,-z+1/2'
'x+1/2,-y,z+1/2'
'y+1/4,x+3/4,-z+1/4'
'-y+1/4,-x+3/4,z+1/4'
'x+1/2,y+1/2,z+1/2'
'-x+1/2,-y+1/2,-z+1/2'
'-y+3/4,x+1/4,z+3/4'
'y+3/4,-x+1/4,-z+3/4'
'-x,-y+1/2,z'
'x,y+1/2,-z'
'y+3/4,-x+3/4,z+1/4'
'-y+3/4,x+3/4,-z+1/4'
'x+1/2,-y+1/2,-z+1/2'
'-x+1/2,y+1/2,z+1/2'
'-y+3/4,-x+3/4,-z+1/4'
'y+3/4,x+3/4,z+1/4'
'-x,y+1/2,-z'
'x,-y+1/2,z'
'y+3/4,x+1/4,-z+3/4'
'-y+3/4,-x+1/4,z+3/4'
loop_
_atom_site_label
_atom_site_type_symbol
_atom_site_fract_x
_atom_site_fract_y
_atom_site_fract_z
Zn1 Zn 0.000 0.250 0.375
Au1 Au 0.000 0.250 0.800
```


The following is a DFT calculation (GGA-PBEsol) of a relaxed structure of Zn7Au6.

Its energy relative to the elements is -0.1335 eV/atom. For the size of the total moment, the calculation gives 0.00 μB/cell.

CIF file:
```
data_Zn7Au6
_cell_length_a 5.0741
_cell_length_b 5.0741
_cell_length_c 26.4656
_cell_angle_alpha 90.00
_cell_angle_beta 90.00
_cell_angle_gamma 120.00
_symmetry_space_group_name_H-M 'R -3 m'
_symmetry_Int_Tables_number 166
_symmetry_space_group_name_Hall '-R 3 2"'
loop_
_atom_site_label
_atom_site_type_symbol
_atom_site_fract_x
_atom_site_fract_y
_atom_site_fract_z
Zn1 Zn 0.0000 0.0000 0.0000
Zn2 Zn 0.0001 0.5000 0.4125
Au1 Au 0.0000 0.0000 0.1678
Au2 Au 0.0000 0.0000 0.3406
Au3 Au 0.0000 0.0000 0.4486
```


The following is a DFT calculation (GGA-PBEsol) of a relaxed structure of Zr2ZnAu.

Its energy relative to the elements is -0.3629 eV/atom. For the size of the total moment, the calculation gives 0.00 μB/cell.

CIF file:
```
data_Zr2ZnAu
_cell_length_a 3.411
_cell_length_b 3.411
_cell_length_c 6.429
_cell_angle_alpha 90.00
_cell_angle_beta 90.00
_cell_angle_gamma 90.00
_symmetry_space_group_name_H-M 'P 4 m m'
_symmetry_Int_Tables_number 99
_symmetry_space_group_name_Hall 'P 4 -2'
loop_
_atom_site_label
_atom_site_type_symbol
_atom_site_fract_x
_atom_site_fract_y
_atom_site_fract_z
Zr1 Zr 0.000 0.000 0.000
Zr2 Zr 0.500 0.500 0.298
Zn1 Zn 0.500 0.500 0.760
Au1 Au 0.000 0.000 0.543
```


The following is a DFT calculation (GGA-PBEsol) of a relaxed structure of Zr2ZnAu.

Its energy relative to the elements is -0.3853 eV/atom. For the size of the total moment, the calculation gives 0.00 μB/cell.

CIF file:
```
data_Zr2ZnAu
_cell_length_a 3.001
_cell_length_b 4.804
_cell_length_c 5.092
_cell_angle_alpha 90.00
_cell_angle_beta 90.00
_cell_angle_gamma 90.00
_symmetry_space_group_name_H-M 'P m m 2'
_symmetry_Int_Tables_number 25
_symmetry_space_group_name_Hall 'P 2 -2'
loop_
_atom_site_label
_atom_site_type_symbol
_atom_site_fract_x
_atom_site_fract_y
_atom_site_fract_z
Zr1 Zr 0.000 0.000 0.000
Zr2 Zr 0.000 0.500 0.390
Zn1 Zn 0.500 0.500 0.887
Au1 Au 0.500 0.000 0.529
```


The following is a DFT calculation (GGA-PBEsol) of a relaxed structure of ZrZnAu2.

Its energy relative to the elements is -0.4486 eV/atom. For the size of the total moment, the calculation gives 0.00 μB/cell.

CIF file:
```
data_ZrZnAu2
_cell_length_a 3.095
_cell_length_b 3.147
_cell_length_c 7.003
_cell_angle_alpha 90.00
_cell_angle_beta 90.00
_cell_angle_gamma 90.00
_symmetry_space_group_name_H-M 'P m m m'
_symmetry_Int_Tables_number 47
_symmetry_space_group_name_Hall '-P 2 2'
loop_
_atom_site_label
_atom_site_type_symbol
_atom_site_fract_x
_atom_site_fract_y
_atom_site_fract_z
Zr1 Zr 0.000 0.000 0.000
Zn1 Zn 0.000 0.000 0.500
Au1 Au 0.500 0.500 0.276
```


The following is a DFT calculation (GGA-PBEsol) of a relaxed structure of Zr2Zn2Au.

Its energy relative to the elements is -0.4185 eV/atom. For the size of the total moment, the calculation gives 0.00 μB/cell.

CIF file:
```
data_Zr2Zn2Au
_cell_length_a 6.666
_cell_length_b 6.666
_cell_length_c 3.948
_cell_angle_alpha 90.00
_cell_angle_beta 90.00
_cell_angle_gamma 90.00
_symmetry_space_group_name_H-M 'P 4/m b m'
_symmetry_Int_Tables_number 127
_symmetry_space_group_name_Hall '-P 4 2ab'
loop_
_atom_site_label
_atom_site_type_symbol
_atom_site_fract_x
_atom_site_fract_y
_atom_site_fract_z
Zr1 Zr 0.171 0.329 0.000
Zn1 Zn 0.130 0.630 0.500
Au1 Au 0.000 0.000 0.500
```


The following is a DFT calculation (GGA-PBEsol) of a relaxed structure of Zr2ZnAu.

Its energy relative to the elements is -0.4034 eV/atom. For the size of the total moment, the calculation gives 0.00 μB/cell.

CIF file:
```
data_Zr2ZnAu
_cell_length_a 4.208
_cell_length_b 4.208
_cell_length_c 8.232
_cell_angle_alpha 90.00
_cell_angle_beta 90.00
_cell_angle_gamma 90.00
_symmetry_space_group_name_H-M 'I 4/m m m'
_symmetry_Int_Tables_number 139
_symmetry_space_group_name_Hall '-I 4 2'
loop_
_atom_site_label
_atom_site_type_symbol
_atom_site_fract_x
_atom_site_fract_y
_atom_site_fract_z
Zr1 Zr 0.000 0.500 0.250
Zn1 Zn 0.000 0.000 0.000
Au1 Au 0.000 0.000 0.500
```


Number 1: theoretical density 15.36 g/cm3. Number 2: theoretical density 15.57 g/cm3. Number 3: theoretical density 13.84 g/cm3. Number 4: theoretical density 9.87 g/cm3. Number 5: theoretical density 10.06 g/cm3. Number 6: theoretical density 13.40 g/cm3. Number 7: theoretical density 9.66 g/cm3. Number 8: theoretical density 10.14 g/cm3.